Here is a relaxed K2Rb4InP2 crystal from Alexandria via LeMat-Bulk. Energies are from PBE-GGA.

The calculation puts the final energy at -2.3033 eV per atom.

The space group is C2/m (No. 12) and the conventional cell measures 15.593, 14.314 and 5.203 Å, with angles of 90.00, 102.07 and 90.00 degrees. The asymmetric unit holds K at (0.130, 0.000, 0.309), Rb at (0.150, 0.345, 0.116), In at (0.000, 0.500, 0.500) and P at (0.156, 0.500, 0.620).

---

Here is a relaxed VGa2CCl crystal from Alexandria via LeMat-Bulk. Energies are from PBE-GGA.

For the energy above the lowest structure with this stoichiometry, the calculation gives 0 meV/atom. Its raw formation energy is 253 kJ/mol of formula units.

The space group is P4/mmm (No. 123) and the conventional cell measures 4.657, 4.657 and 4.073 Å, with angles of 90.00, 90.00 and 90.00 degrees. The asymmetric unit holds V at (0.000, 0.000, 0.000), Ga at (0.000, 0.500, 0.500), C at (0.000, 0.000, 0.500) and Cl at (0.500, 0.500, 0.000).

---

Here is a relaxed Ac2La3In4 crystal from Alexandria via LeMat-Bulk. Energies are from PBE-GGA.

For the energy above the lowest structure with this stoichiometry, the calculation gives 0 meV/atom.

The space group is P2_1/c (No. 14) and the conventional cell measures 8.891, 8.910 and 8.341 Å, with angles of 90.00, 106.88 and 90.00 degrees. The asymmetric unit holds Ac at (0.186, 0.180, 0.064), La at (0.241, 0.671, 0.250), La at (0.500, 0.000, 0.500), In at (0.081, 0.536, 0.862) and In at (0.494, 0.125, 0.876).

---

Here is a relaxed Si2OsPt crystal from Alexandria via LeMat-Bulk. Energies are from PBE-GGA.

Its raw formation energy is 6 kJ/mol of formula units.

The space group is Cmmm (No. 65) and the conventional cell measures 2.848, 5.223 and 8.014 Å, with angles of 90.00, 90.00 and 90.00 degrees. The asymmetric unit holds Si at (0.000, 0.000, 0.242), Os at (0.000, 0.500, 0.000) and Pt at (0.000, 0.500, 0.500).

---

Here is a relaxed Pm6PrSmTm2 crystal from Alexandria via LeMat-Bulk. Energies are from PBE-GGA.

The calculation puts the final energy at -4.5793 eV per atom.

The space group is C2/c (No. 15) and the conventional cell measures 9.333, 15.177 and 9.674 Å, with angles of 90.00, 97.25 and 90.00 degrees. The asymmetric unit holds Pm at (0.066, 0.174, 0.444), Pm at (0.095, 0.390, 0.619), Pm at (0.212, 0.227, 0.819), Pr at (0.000, 0.407, 0.250), Sm at (0.000, 0.033, 0.750) and Tm at (0.246, 0.048, 0.049).

---

Here is a relaxed YB2S crystal from Alexandria via LeMat-Bulk. Energies are from PBE-GGA.

Its raw formation energy is 113 kJ/mol of formula units.

The space group is I-42d (No. 122) and the conventional cell measures 5.966, 5.966 and 6.403 Å, with angles of 90.00, 90.00 and 90.00 degrees. The asymmetric unit holds Y at (0.000, 0.000, 0.000), B at (0.161, 0.250, 0.625) and S at (0.000, 0.000, 0.500).